! K2AgIrBr6 (PBE, optimized geometry); values from VASP
! Calculated volume = 303.2 Å³/cell
! Raw total energy = -3.1938 eV per atom
&SYSTEM
  ibrav = 0, nat = 10, ntyp = 4
/
ATOMIC_SPECIES
K 39.10 K.upf
Ag 107.87 Ag.upf
Ir 192.22 Ir.upf
Br 79.90 Br.upf
CELL_PARAMETERS angstrom
0.000 5.332 5.332
5.332 0.000 5.332
5.332 5.332 0.000
ATOMIC_POSITIONS crystal
K 0.250 0.250 0.250
K 0.750 0.750 0.750
Ag 0.000 0.000 0.000
Ir 0.500 0.500 0.500
Br 0.263 0.263 0.737
Br 0.263 0.737 0.263
Br 0.263 0.737 0.737
Br 0.737 0.263 0.263
Br 0.737 0.263 0.737
Br 0.737 0.737 0.263

! TbSi2IrAu (PBE, optimized geometry); values from VASP
! Calculated volume = 88.1 Å³/cell
! Raw total energy = -6.2200 eV per atom
&SYSTEM
  ibrav = 0, nat = 5, ntyp = 4
/
ATOMIC_SPECIES
Tb 158.93 Tb.upf
Si 28.09 Si.upf
Ir 192.22 Ir.upf
Au 196.97 Au.upf
CELL_PARAMETERS angstrom
-2.087 2.087 5.053
2.087 -2.087 5.053
2.087 2.087 -5.053
ATOMIC_POSITIONS crystal
Tb 0.000 0.000 0.000
Si 0.385 0.385 0.000
Si 0.615 0.615 0.000
Ir 0.750 0.250 0.500
Au 0.250 0.750 0.500

! La2PrCd3Au3 (PBE, optimized geometry); values from VASP
! Formation enthalpy at 0 K = -0.674 eV per atom
! Calculated volume = 227.1 Å³/cell
&SYSTEM
  ibrav = 0, nat = 9, ntyp = 4
/
ATOMIC_SPECIES
La 138.91 La.upf
Pr 140.91 Pr.upf
Cd 112.41 Cd.upf
Au 196.97 Au.upf
CELL_PARAMETERS angstrom
4.092 0.000 0.000
0.000 6.934 4.003
0.000 -6.934 4.003
ATOMIC_POSITIONS crystal
La 0.000 0.204 0.796
La 0.000 0.796 0.204
Pr 0.000 0.389 0.389
Cd 0.500 0.053 0.053
Cd 0.500 0.542 0.795
Cd 0.500 0.795 0.542
Au 0.000 0.797 0.797
Au 0.500 0.130 0.463
Au 0.500 0.463 0.130

! HfCl2 (PBE, optimized geometry); values from VASP
! Calculated volume = 335.9 Å³/cell
! Raw total energy = -5.1165 eV per atom
&SYSTEM
  ibrav = 0, nat = 6, ntyp = 2
/
ATOMIC_SPECIES
Hf 178.49 Hf.upf
Cl 35.45 Cl.upf
CELL_PARAMETERS angstrom
0.000 5.517 5.517
5.517 0.000 5.517
5.517 5.517 0.000
ATOMIC_POSITIONS crystal
Hf 0.125 0.125 0.125
Hf 0.875 0.875 0.875
Cl 0.000 0.000 0.000
Cl 0.000 0.000 0.500
Cl 0.000 0.500 0.000
Cl 0.500 0.000 0.000